No. 1
Sr2CrIr after structural relaxation. Source: Alexandria, functional PBE.

a = 7.3042 Å, b = 7.3042 Å, c = 7.3042 Å
α = 90.00°, β = 90.00°, γ = 90.00°
With the nearest neighbours (Å) after each atom.
Space group F-43m (No. 216)
Unique sites:
Sr (0.0000, 0.0000, 0.0000) [4 per cell]  4 Ir 3.16, 4 Sr 3.16
Sr (0.2500, 0.2500, 0.2500) [4 per cell]  4 Cr 3.16, 4 Sr 3.16
Cr (0.0000, 0.0000, 0.5000) [4 per cell]  4 Ir 3.16, 4 Sr 3.16
Ir (0.2500, 0.2500, 0.7500) [4 per cell]  4 Cr 3.16, 4 Sr 3.16

Size of the total moment = 1.16 μB per atom
Excess energy over the best structure of this formula in the dataset = 399.0 meV/atom
Volume = 24.36 Å³ per atom
Formation energy = 0.52 eV/atom

***

No. 2
Sr3CrIr after structural relaxation. Source: Alexandria, functional PBE.

a = 5.8071 Å, b = 5.8071 Å, c = 5.8071 Å
α = 90.00°, β = 90.00°, γ = 90.00°
With the nearest neighbours (Å) after each atom.
Space group Pm-3m (No. 221)
Unique sites:
Sr (0.0000, 0.0000, 0.5000) [3 per cell]  2 Ir 2.90
Cr (0.5000, 0.5000, 0.5000) [1 per cell]  12 Sr 4.11
Ir (0.0000, 0.0000, 0.0000) [1 per cell]  6 Sr 2.90

Size of the total moment = 1.04 μB per atom
Excess energy over the best structure of this formula in the dataset = 0.0 meV/atom
Volume = 39.16 Å³ per atom
Formation energy = 0.34 eV/atom

***

No. 3
Sr4CrIr after structural relaxation. Source: Alexandria, functional PBE.

a = 9.2893 Å, b = 9.2893 Å, c = 9.2893 Å
α = 90.00°, β = 90.00°, γ = 90.00°
With the nearest neighbours (Å) after each atom.
Space group F-43m (No. 216)
Unique sites:
Sr (0.1240, 0.1240, 0.3760) [16 per cell]  6 Sr 3.26-3.31
Cr (0.0000, 0.0000, 0.0000) [4 per cell]  12 Sr 3.85, 4 Ir 4.02
Ir (0.2500, 0.2500, 0.7500) [4 per cell]  12 Sr 3.85, 4 Cr 4.02

Size of the total moment = 0.99 μB per atom
Volume = 33.40 Å³ per atom
Formation energy = 1.17 eV/atom

***

No. 4
Sr2CrIr after structural relaxation. Source: Alexandria, functional PBE.

a = 4.3672 Å, b = 4.3672 Å, c = 24.2431 Å
α = 90.00°, β = 90.00°, γ = 120.00°
With the nearest neighbours (Å) after each atom.
Space group R-3m (No. 166, hexagonal axes)
Unique sites:
Sr (0.0000, 0.0000, 0.2311) [6 per cell]  3 Ir 2.97
Cr (0.0000, 0.0000, 0.0000) [3 per cell]  6 Sr 3.54
Ir (0.0000, 0.0000, 0.5000) [3 per cell]  6 Sr 2.97

Size of the total moment = 1.30 μB per atom
Excess energy over the best structure of this formula in the dataset = 518.9 meV/atom
Volume = 33.37 Å³ per atom
Formation energy = 0.64 eV/atom

***

No. 5
Sr2CrIr2 after structural relaxation. Source: Alexandria, functional PBE.

a = 6.5337 Å, b = 6.5337 Å, c = 5.1003 Å
α = 90.00°, β = 90.00°, γ = 90.00°
With the nearest neighbours (Å) after each atom.
Space group P4/mbm (No. 127)
Unique sites:
Sr (0.1801, 0.3199, 0.0000) [4 per cell]  6 Ir 3.06-3.30, 5 Sr 3.33-3.39
Cr (0.0000, 0.0000, 0.5000) [2 per cell]  4 Ir 2.54
Ir (0.1369, 0.6369, 0.5000) [4 per cell]  1 Ir 2.53, 2 Cr 2.54

Size of the total moment = 0.00 μB per atom
Volume = 21.77 Å³ per atom
Formation energy = 0.15 eV/atom

***

No. 6
Sr2CrIr after structural relaxation. Source: Alexandria, functional PBE.

a = 11.2904 Å, b = 11.2904 Å, c = 4.7413 Å
α = 90.00°, β = 90.00°, γ = 90.00°
With the nearest neighbours (Å) after each atom.
Space group I-42d (No. 122)
Unique sites:
Sr (0.0744, 0.2500, 0.1250) [8 per cell]  2 Ir 3.00
Cr (0.0000, 0.0000, 0.5000) [4 per cell]  2 Ir 2.37
Ir (0.0000, 0.0000, 0.0000) [4 per cell]  2 Cr 2.37

Size of the total moment = 0.92 μB per atom
Excess energy over the best structure of this formula in the dataset = 174.0 meV/atom
Volume = 37.77 Å³ per atom
Formation energy = 0.29 eV/atom

***

No. 7
SrCrIr3 after structural relaxation. Source: Alexandria, functional PBE.

a = 4.6186 Å, b = 4.6186 Å, c = 4.6186 Å
α = 90.00°, β = 90.00°, γ = 90.00°
With the nearest neighbours (Å) after each atom.
Space group Pm-3m (No. 221)
Unique sites:
Sr (0.0000, 0.0000, 0.0000) [1 per cell]  12 Ir 3.27
Cr (0.5000, 0.5000, 0.5000) [1 per cell]  6 Ir 2.31
Ir (0.0000, 0.5000, 0.5000) [3 per cell]  2 Cr 2.31

Size of the total moment = 0.00 μB per atom
Volume = 19.70 Å³ per atom
Formation energy = 0.53 eV/atom

***

No. 8
SrCr3Ir after structural relaxation. Source: Alexandria, functional PBE.

a = 4.8954 Å, b = 4.8954 Å, c = 4.8954 Å
α = 90.00°, β = 90.00°, γ = 90.00°
With the nearest neighbours (Å) after each atom.
Space group Pm-3m (No. 221)
Unique sites:
Sr (0.0000, 0.0000, 0.0000) [1 per cell]  12 Cr 3.46
Cr (0.0000, 0.5000, 0.5000) [3 per cell]  2 Ir 2.45
Ir (0.5000, 0.5000, 0.5000) [1 per cell]  6 Cr 2.45

Size of the total moment = 2.18 μB per atom
Volume = 23.46 Å³ per atom
Formation energy = 0.79 eV/atom

***

Question: Which of these has the highest volume?
Answer: Sr3CrIr

***

What did the eighth record say?
SrCr3Ir after structural relaxation. Source: Alexandria, functional PBE.

a = 4.8954 Å, b = 4.8954 Å, c = 4.8954 Å
α = 90.00°, β = 90.00°, γ = 90.00°
With the nearest neighbours (Å) after each atom.
Space group Pm-3m (No. 221)
Unique sites:
Sr (0.0000, 0.0000, 0.0000) [1 per cell]  12 Cr 3.46
Cr (0.0000, 0.5000, 0.5000) [3 per cell]  2 Ir 2.45
Ir (0.5000, 0.5000, 0.5000) [1 per cell]  6 Cr 2.45

Size of the total moment = 2.18 μB per atom
Volume = 23.46 Å³ per atom
Formation energy = 0.79 eV/atom